Record 1
Density functional theory data (PBE) for crystalline AlHgRu3 at its relaxed geometry.

Results
total energy = -5.31 eV/atom
ΔE to the lowest computed polymorph = 0.0 meV/atom
V = 90 Å³/cell
formation energy from the elements = 5.315 eV per formula unit

Cell lengths 4.4790, 4.4790, 4.4790 Å; angles 90.00, 90.00, 90.00 degrees
With the nearest neighbours (Å) after each atom.
Fractional coordinates of all 5 atoms:
Ru (0.0000, 0.5000, 0.0000)  2 Al 2.24
Ru (0.0000, 0.0000, 0.5000)  2 Al 2.24
Ru (0.5000, 0.0000, 0.0000)  2 Al 2.24
Hg (0.5000, 0.5000, 0.5000)  12 Ru 3.17
Al (0.0000, 0.0000, 0.0000)  6 Ru 2.24

***

Record 2
Density functional theory data (PBE) for crystalline NaPm4Pb5 at its relaxed geometry.

Results
total energy = -4.32 eV/atom
V = 297 Å³/cell
formation energy from the elements = -4.318 eV per formula unit

Cell lengths 3.5691, 3.5691, 23.2954 Å; angles 90.00, 90.00, 90.00 degrees
With the nearest neighbours (Å) after each atom.
Fractional coordinates of all 10 atoms:
Na (0.0000, 0.0000, 0.0000)  8 Pb 3.46, 4 Na 3.57
Pm (0.0000, 0.0000, 0.2010)  8 Pb 3.43-3.44, 4 Pm 3.57
Pm (0.0000, 0.0000, 0.4012)  8 Pb 3.42-3.44, 4 Pm 3.57
Pm (0.0000, 0.0000, 0.5988)  8 Pb 3.42-3.44, 4 Pm 3.57
Pm (0.0000, 0.0000, 0.7990)  8 Pb 3.43-3.44, 4 Pm 3.57
Pb (0.5000, 0.5000, 0.1016)  4 Pm 3.43, 4 Na 3.46, 4 Pb 3.57
Pb (0.5000, 0.5000, 0.3011)  8 Pm 3.44, 4 Pb 3.57
Pb (0.5000, 0.5000, 0.5000)  8 Pm 3.42, 4 Pb 3.57
Pb (0.5000, 0.5000, 0.6989)  8 Pm 3.44, 4 Pb 3.57
Pb (0.5000, 0.5000, 0.8984)  4 Pm 3.43, 4 Na 3.46, 4 Pb 3.57

***

Record 3
Density functional theory data (PBE) for crystalline MgTiNb at its relaxed geometry.

Results
total energy = -6.48 eV/atom
ΔE to the lowest computed polymorph = 0.0 meV/atom
V = 114 Å³/cell
formation energy from the elements = 0.110 eV per formula unit

Cell lengths 2.9135, 3.3779, 14.5524 Å; angles 96.72, 101.54, 54.47 degrees
With the nearest neighbours (Å) after each atom.
Fractional coordinates of all 6 atoms:
Mg (0.0947, 0.0765, 0.1236)  6 Mg 2.91-3.14, 2 Ti 3.01
Mg (0.2837, 0.5747, 0.3092)  6 Mg 2.91-3.14, 2 Ti 3.01
Ti (0.4590, 0.0745, 0.4842)  2 Nb 2.75, 4 Ti 2.91, 2 Mg 3.01
Ti (0.9208, 0.5760, 0.9492)  2 Nb 2.74-2.75, 4 Ti 2.91, 2 Mg 3.01
Nb (0.6099, 0.5752, 0.6360)  2 Ti 2.75, 6 Nb 2.85-2.91
Nb (0.7697, 0.0755, 0.7975)  2 Ti 2.74-2.75, 6 Nb 2.85-2.91

***

Record 4
Density functional theory data (PBE) for crystalline Er4BiOs at its relaxed geometry.

Results
total energy = -6.05 eV/atom
ΔE to the lowest computed polymorph = 0.0 meV/atom
V = 337 Å³/cell
formation energy from the elements = -2.928 eV per formula unit

Cell lengths 6.1350, 8.0259, 8.0259 Å; angles 112.48, 102.37, 102.37 degrees
With the nearest neighbours (Å) after each atom.
Fractional coordinates of all 12 atoms:
Er (0.8540, 0.6560, 0.7976)  2 Os 2.86-2.90
Er (0.0651, 0.9419, 0.2749)  2 Os 2.83-2.85
Er (0.6460, 0.2024, 0.3440)  2 Os 2.86-2.90
Er (0.4349, 0.7251, 0.0581)  2 Os 2.83-2.85
Er (0.5651, 0.2749, 0.9419)  2 Os 2.83-2.85
Er (0.3540, 0.7976, 0.6560)  2 Os 2.86-2.90
Er (0.9349, 0.0581, 0.7251)  2 Os 2.83-2.85
Er (0.1460, 0.3440, 0.2024)  2 Os 2.86-2.90
Bi (0.7500, 0.6275, 0.3725)  8 Er 3.24-3.55
Bi (0.2500, 0.3725, 0.6275)  8 Er 3.24-3.55
Os (0.2500, 0.0005, 0.9995)  8 Er 2.83-2.90, 2 Os 3.07
Os (0.7500, 0.9995, 0.0005)  8 Er 2.83-2.90, 2 Os 3.07

***

Record 5
Density functional theory data (PBE) for crystalline Np2Fe2C3 at its relaxed geometry.

Results
total energy = -10.09 eV/atom
V = 84 Å³/cell
formation energy from the elements = -0.122 eV per formula unit

Cell lengths 3.3761, 5.9133, 5.6596 Å; angles 126.57, 107.35, 90.00 degrees
With the nearest neighbours (Å) after each atom.
Fractional coordinates of all 7 atoms:
Np (0.5639, 0.7799, 0.1278)  5 C 2.48-2.67, 1 Np 2.68
Np (0.4361, 0.2201, 0.8722)  5 C 2.48-2.67, 1 Np 2.68
Fe (0.7962, 0.6806, 0.5923)  4 C 1.80-2.00
Fe (0.2038, 0.3194, 0.4077)  4 C 1.80-2.00
C (0.0000, 0.0000, 0.0000)  2 Fe 1.80
C (0.8018, 0.3488, 0.6035)  3 Fe 1.94-2.00
C (0.1982, 0.6512, 0.3965)  3 Fe 1.94-2.00

***

Record 6
Density functional theory data (PBE) for crystalline BeCoSeN2 at its relaxed geometry.

Results
total energy = -5.25 eV/atom
ΔE to the lowest computed polymorph = 0.0 meV/atom
V = 86 Å³/cell

Cell lengths 3.4230, 3.4230, 7.3781 Å; angles 90.00, 90.00, 90.00 degrees
With the nearest neighbours (Å) after each atom.
Fractional coordinates of all 5 atoms:
Be (0.5000, 0.5000, 0.5000)  4 Se 2.42
Co (0.0000, 0.0000, 0.0000)  4 N 1.71
Se (0.0000, 0.0000, 0.5000)  4 Be 2.42
N (0.0000, 0.5000, 0.0000)  2 Co 1.71
N (0.5000, 0.0000, 0.0000)  2 Co 1.71

***

Record 7
Density functional theory data (PBE) for crystalline LiHfMg2Ti at its relaxed geometry.

Results
total energy = -3.45 eV/atom
V = 113 Å³/cell
formation energy from the elements = 5.705 eV per formula unit

Cell lengths 5.0713, 4.3881, 5.0713 Å; angles 90.00, 90.00, 90.00 degrees
With the nearest neighbours (Å) after each atom.
Fractional coordinates of all 5 atoms:
Mg (0.0000, 0.0000, 0.5000)  2 Ti 2.54
Mg (0.5000, 0.0000, 0.0000)  2 Ti 2.54
Li (0.0000, 0.5000, 0.0000)  2 Ti 2.19
Hf (0.5000, 0.5000, 0.5000)  8 Mg 3.35, 4 Li 3.59
Ti (0.0000, 0.0000, 0.0000)  2 Li 2.19

***

Record 8
Density functional theory data (PBE) for crystalline Mg2Cd3Ag5 at its relaxed geometry.

Results
total energy = -2.08 eV/atom
ΔE to the lowest computed polymorph = 0.0 meV/atom
V = 203 Å³/cell
formation energy from the elements = -0.638 eV per formula unit

Cell lengths 4.5767, 5.4135, 10.9923 Å; angles 111.96, 78.42, 63.67 degrees
With the nearest neighbours (Å) after each atom.
Fractional coordinates of all 10 atoms:
Mg (0.3271, 0.1269, 0.2273)  5 Ag 2.83-3.15, 1 Cd 3.05
Mg (0.6729, 0.8731, 0.7727)  5 Ag 2.83-3.15, 1 Cd 3.05
Cd (0.5000, 0.5000, 0.5000)  6 Ag 2.80-2.89
Cd (0.1690, 0.5621, 0.1021)  3 Ag 2.83-2.86, 2 Cd 3.00-3.01, 1 Mg 3.05
Cd (0.8310, 0.4379, 0.8979)  3 Ag 2.83-2.86, 2 Cd 3.00-3.01, 1 Mg 3.05
Ag (0.0000, 0.0000, 0.0000)  2 Ag 2.77, 2 Cd 2.86
Ag (0.1255, 0.2050, 0.5429)  5 Ag 2.82-2.92, 2 Cd 2.83-2.89, 1 Mg 2.86
Ag (0.8745, 0.7950, 0.4571)  5 Ag 2.82-2.92, 2 Cd 2.83-2.89, 1 Mg 2.86
Ag (0.5766, 0.5890, 0.2630)  4 Ag 2.77-2.92, 3 Cd 2.80-2.83, 2 Mg 2.83-3.05
Ag (0.4234, 0.4110, 0.7370)  4 Ag 2.77-2.92, 3 Cd 2.80-2.83, 2 Mg 2.83-3.05

***

Values of mass density, in order: 9.809, 9.171, 4.801, 10.529, 12.253, 3.360, 4.148, 7.561, all in g cm⁻³.